PBE SnRu2SF, optimized geometry; DOS at the Fermi energy = 7.81 states/eV/f.u.; theoretical density = 6.88 g/cm3; energy relative to the elements, uncorrected = 0.67 eV/atom; DFT total energy = -5.041 eV/atom
1.0
4.127 0.000 0.000
0.000 4.127 0.000
0.000 0.000 5.272
Sn Ru S F
1 2 1 1
Cartesian
0.000 0.000 0.000
0.000 2.064 2.636
2.064 0.000 2.636
2.064 2.064 0.000
2.064 2.064 2.636


PBE Sb2RuF, optimized geometry; excess energy over the best structure of this formula in the dataset = 0 meV/atom; DOS at the Fermi energy = 2.74 states/eV/f.u.; theoretical density = 8.89 g/cm3; energy relative to the elements, uncorrected = -0.49 eV/atom; DFT total energy = -5.343 eV/atom
1.0
0.000 3.239 3.239
3.239 0.000 3.239
3.239 3.239 0.000
Sb Ru F
2 1 1
Cartesian
1.619 1.619 1.619
4.858 4.858 4.858
0.000 0.000 0.000
3.239 3.239 3.239


PBE SbRu2F, optimized geometry; excess energy over the best structure of this formula in the dataset = 0 meV/atom; DOS at the Fermi energy = 5.04 states/eV/f.u.; theoretical density = 9.55 g/cm3; energy relative to the elements, uncorrected = 0.00 eV/atom; DFT total energy = -6.140 eV/atom
1.0
0.000 3.100 3.100
3.100 0.000 3.100
3.100 3.100 0.000
Sb Ru F
1 2 1
Cartesian
0.000 0.000 0.000
1.550 1.550 1.550
4.650 4.650 4.650
3.100 3.100 3.100


What is the formula in the first record?
SnRu2SF


What is the energy relative to the elements, uncorrected in the third record?
0.00 eV/atom


Which value of DFT total energy does entry 3 give?
-6.140 eV/atom